# ZrTlTe3Pd, relaxed, DFT PBE-GGA
data_ZrTlTe3Pd
_symmetry_space_group_name_H-M 'P 1'
_symmetry_Int_Tables_number 1
_cell_length_a 8.092
_cell_length_b 8.092
_cell_length_c 10.805
_cell_angle_alpha 90.00
_cell_angle_beta 90.00
_cell_angle_gamma 151.70
loop_
_symmetry_equiv_pos_as_xyz
'x,y,z'
loop_
_atom_site_label
_atom_site_type_symbol
_atom_site_fract_x
_atom_site_fract_y
_atom_site_fract_z
Zr1 Zr 0.000 0.000 0.000
Zr2 Zr 0.000 0.000 0.500
Tl1 Tl 0.234 0.766 0.750
Tl2 Tl 0.766 0.234 0.250
Te1 Te 0.078 0.922 0.250
Te2 Te 0.365 0.635 0.044
Te3 Te 0.365 0.635 0.456
Te4 Te 0.635 0.365 0.544
Te5 Te 0.635 0.365 0.956
Te6 Te 0.922 0.078 0.750
Pd1 Pd 0.464 0.536 0.250
Pd2 Pd 0.536 0.464 0.750
# **Crystal system**: orthorhombic
# **Energy relative to the lowest polymorph listed for this composition**: 18 meV per atom